Record 1
# RbPr3F10 PBE-GGA relaxed
data_RbPr3F10
_chemical_formula_sum 'Rb8 Pr24 F80'
_space_group_name_H-M_alt 'F m -3 m'
_space_group_IT_number 225
_space_group_name_Hall '-F 4 2 3'
_cell_length_a 12.282
_cell_length_b 12.282
_cell_length_c 12.282
_cell_angle_alpha 90.00
_cell_angle_beta 90.00
_cell_angle_gamma 90.00
loop_
_atom_site_label
_atom_site_type_symbol
_atom_site_fract_x
_atom_site_fract_y
_atom_site_fract_z
Rb1 Rb 0.250 0.250 0.250
Pr1 Pr 0.000 0.000 0.240
F1 F 0.000 0.165 0.335
F2 F 0.111 0.111 0.111
# raw total energy: -6.35 eV per atom
# spin magnetization: 1.79 Bohr magnetons per cell
# ΔE_f (raw): -90.5 kcal/mol of atoms

Record 2
# LaCePCl PBE-GGA relaxed
data_LaCePCl
_chemical_formula_sum 'La3 Ce3 P3 Cl3'
_space_group_name_H-M_alt 'R 3 m'
_space_group_IT_number 160
_space_group_name_Hall 'R 3 -2"'
_cell_length_a 4.0539
_cell_length_b 4.0539
_cell_length_c 22.1962
_cell_angle_alpha 90.00
_cell_angle_beta 90.00
_cell_angle_gamma 120.00
loop_
_atom_site_label
_atom_site_type_symbol
_atom_site_fract_x
_atom_site_fract_y
_atom_site_fract_z
La1 La 0.0000 0.0000 0.0000
Ce1 Ce 0.0000 0.0000 0.8116
P1 P 0.0000 0.0000 0.4084
Cl1 Cl 0.0000 0.0000 0.2353
# raw total energy: -6.10 eV per atom
# spin magnetization: 3.00 Bohr magnetons per cell
# ΔE_f (raw): -36.2 kcal/mol of atoms

Record 3
# AgPtPb2 PBE-GGA relaxed
data_AgPtPb2
_chemical_formula_sum 'Ag3 Pt3 Pb6'
_space_group_name_H-M_alt 'R 3 m'
_space_group_IT_number 160
_space_group_name_Hall 'R 3 -2"'
_cell_length_a 4.4062
_cell_length_b 4.4062
_cell_length_c 18.2363
_cell_angle_alpha 90.00
_cell_angle_beta 90.00
_cell_angle_gamma 120.00
loop_
_atom_site_label
_atom_site_type_symbol
_atom_site_fract_x
_atom_site_fract_y
_atom_site_fract_z
Ag1 Ag 0.0000 0.0000 0.0000
Pt1 Pt 0.0000 0.0000 0.2786
Pb1 Pb 0.0000 0.0000 0.5435
Pb2 Pb 0.0000 0.0000 0.7429
# raw total energy: -4.02 eV per atom
# spin magnetization: 0.00 Bohr magnetons per cell
# E_form: 0.22 eV/f.u.
# distance to the lowest polymorph of the same formula: 0.361 eV/f.u.

Record 4
# PuMgRu PBE-GGA relaxed
data_PuMgRu
_chemical_formula_sum 'Pu1 Mg1 Ru1'
_space_group_name_H-M_alt 'P 3 m 1'
_space_group_IT_number 156
_space_group_name_Hall 'P 3 -2"'
_cell_length_a 4.7195
_cell_length_b 4.7195
_cell_length_c 2.9954
_cell_angle_alpha 90.00
_cell_angle_beta 90.00
_cell_angle_gamma 120.00
loop_
_atom_site_label
_atom_site_type_symbol
_atom_site_fract_x
_atom_site_fract_y
_atom_site_fract_z
Pu1 Pu 0.0000 0.0000 0.0000
Mg1 Mg 0.6667 0.3333 0.4511
Ru1 Ru 0.3333 0.6667 0.7181
# raw total energy: -8.30 eV per atom
# spin magnetization: 5.04 Bohr magnetons per cell
# E_form: 0.29 eV/f.u.

Record 5
# LiTb2ErS4 PBE-GGA relaxed
data_LiTb2ErS4
_chemical_formula_sum 'Li1 Tb2 Er1 S4'
_space_group_name_H-M_alt 'P 1 2/m 1'
_space_group_IT_number 10
_space_group_name_Hall '-P 2y'
_cell_length_a 6.711
_cell_length_b 3.877
_cell_length_c 6.719
_cell_angle_alpha 90.00
_cell_angle_beta 109.39
_cell_angle_gamma 90.00
loop_
_atom_site_label
_atom_site_type_symbol
_atom_site_fract_x
_atom_site_fract_y
_atom_site_fract_z
Li1 Li 0.000 0.000 0.000
Tb1 Tb 0.000 0.500 0.500
Tb2 Tb 0.500 0.000 0.500
Er1 Er 0.500 0.500 0.000
S1 S 0.245 0.500 0.241
S2 S 0.248 0.000 0.759
# raw total energy: -5.97 eV per atom
# spin magnetization: 0.00 Bohr magnetons per cell
# ΔE_f (raw): -44.7 kcal/mol of atoms

Record 6
# AcLa2TbEr PBE-GGA relaxed
data_AcLa2TbEr
_chemical_formula_sum 'Ac4 La8 Tb4 Er4'
_space_group_name_H-M_alt 'C m c m'
_space_group_IT_number 63
_space_group_name_Hall '-C 2c 2'
_cell_length_a 8.419
_cell_length_b 12.209
_cell_length_c 7.499
_cell_angle_alpha 90.00
_cell_angle_beta 90.00
_cell_angle_gamma 90.00
loop_
_atom_site_label
_atom_site_type_symbol
_atom_site_fract_x
_atom_site_fract_y
_atom_site_fract_z
Ac1 Ac 0.000 0.241 0.250
La1 La 0.198 0.500 0.000
Tb1 Tb 0.000 0.050 0.750
Er1 Er 0.000 0.303 0.750
# raw total energy: -4.29 eV per atom
# spin magnetization: 0.00 Bohr magnetons per cell
# E_form: 1.71 eV/f.u.

Record 7
# Tm2Tl5Br12 PBE-GGA relaxed
data_Tm2Tl5Br12
_chemical_formula_sum 'Tm4 Tl10 Br24'
_space_group_name_H-M_alt 'C 1 2/m 1'
_space_group_IT_number 12
_space_group_name_Hall '-C 2y'
_cell_length_a 17.912
_cell_length_b 8.304
_cell_length_c 10.425
_cell_angle_alpha 90.00
_cell_angle_beta 109.42
_cell_angle_gamma 90.00
loop_
_atom_site_label
_atom_site_type_symbol
_atom_site_fract_x
_atom_site_fract_y
_atom_site_fract_z
Tm1 Tm 0.000 0.248 0.000
Tl1 Tl 0.000 0.500 0.500
Tl2 Tl 0.186 0.000 0.817
Tl3 Tl 0.216 0.000 0.374
Br1 Br 0.004 0.500 0.182
Br2 Br 0.006 0.000 0.189
Br3 Br 0.131 0.255 0.556
Br4 Br 0.160 0.239 0.081
# raw total energy: -3.36 eV per atom
# spin magnetization: 0.00 Bohr magnetons per cell
# ΔE_f (raw): -28.0 kcal/mol of atoms

Record 8
# CsCdSe2 PBE-GGA relaxed
data_CsCdSe2
_chemical_formula_sum 'Cs4 Cd4 Se8'
_space_group_name_H-M_alt 'I -4 2 d'
_space_group_IT_number 122
_space_group_name_Hall 'I -4 2bw'
_cell_length_a 8.270
_cell_length_b 8.270
_cell_length_c 8.408
_cell_angle_alpha 90.00
_cell_angle_beta 90.00
_cell_angle_gamma 90.00
loop_
_atom_site_label
_atom_site_type_symbol
_atom_site_fract_x
_atom_site_fract_y
_atom_site_fract_z
Cs1 Cs 0.000 0.000 0.000
Cd1 Cd 0.000 0.000 0.500
Se1 Se 0.153 0.250 0.625
# raw total energy: -2.80 eV per atom
# spin magnetization: 0.00 Bohr magnetons per cell
# ΔE_f (raw): -14.3 kcal/mol of atoms

Record 9
# NdDyY PBE-GGA relaxed
data_NdDyY
_chemical_formula_sum 'Nd4 Dy4 Y4'
_space_group_name_H-M_alt 'C 1 2/m 1'
_space_group_IT_number 12
_space_group_name_Hall '-C 2y'
_cell_length_a 11.255
_cell_length_b 5.940
_cell_length_c 7.003
_cell_angle_alpha 90.00
_cell_angle_beta 122.03
_cell_angle_gamma 90.00
loop_
_atom_site_label
_atom_site_type_symbol
_atom_site_fract_x
_atom_site_fract_y
_atom_site_fract_z
Nd1 Nd 0.174 0.000 0.264
Dy1 Dy 0.005 0.500 0.756
Y1 Y 0.161 0.000 0.757
# raw total energy: -5.17 eV per atom
# spin magnetization: 0.00 Bohr magnetons per cell
# E_form: 0.34 eV/f.u.
# distance to the lowest polymorph of the same formula: 0.282 eV/f.u.

Record 10
# CaAsP2S8 PBE-GGA relaxed
data_CaAsP2S8
_chemical_formula_sum 'Ca1 As1 P2 S8'
_space_group_name_H-M_alt 'P -3'
_space_group_IT_number 147
_space_group_name_Hall '-P 3'
_cell_length_a 5.9519
_cell_length_b 5.9519
_cell_length_c 8.6413
_cell_angle_alpha 90.00
_cell_angle_beta 90.00
_cell_angle_gamma 120.00
loop_
_atom_site_label
_atom_site_type_symbol
_atom_site_fract_x
_atom_site_fract_y
_atom_site_fract_z
Ca1 Ca 0.0000 0.0000 0.0000
As1 As 0.0000 0.0000 0.5000
P1 P 0.3333 0.6667 0.7535
S1 S 0.0034 0.3218 0.6938
S2 S 0.3333 0.6667 0.9857
# raw total energy: -4.55 eV per atom
# spin magnetization: 0.00 Bohr magnetons per cell
# ΔE_f (raw): -7.9 kcal/mol of atoms

Record 11
# ThTl3Sb2Te6 PBE-GGA relaxed
data_ThTl3Sb2Te6
_chemical_formula_sum 'Th2 Tl6 Sb4 Te12'
_space_group_name_H-M_alt 'C 1 2/m 1'
_space_group_IT_number 12
_space_group_name_Hall '-C 2y'
_cell_length_a 7.860
_cell_length_b 13.599
_cell_length_c 8.506
_cell_angle_alpha 90.00
_cell_angle_beta 108.13
_cell_angle_gamma 90.00
loop_
_atom_site_label
_atom_site_type_symbol
_atom_site_fract_x
_atom_site_fract_y
_atom_site_fract_z
Th1 Th 0.000 0.000 0.000
Tl1 Tl 0.000 0.160 0.500
Tl2 Tl 0.000 0.500 0.500
Sb1 Sb 0.000 0.331 0.000
Te1 Te 0.233 0.500 0.210
Te2 Te 0.239 0.168 0.217
# raw total energy: -3.90 eV per atom
# spin magnetization: 0.00 Bohr magnetons per cell
# ΔE_f (raw): -9.9 kcal/mol of atoms

Record 12
# DyHo8Sc4 PBE-GGA relaxed
data_DyHo8Sc4
_chemical_formula_sum 'Dy3 Ho24 Sc12'
_space_group_name_H-M_alt 'R -3 m'
_space_group_IT_number 166
_space_group_name_Hall '-R 3 2"'
_cell_length_a 7.0162
_cell_length_b 7.0162
_cell_length_c 26.9210
_cell_angle_alpha 90.00
_cell_angle_beta 90.00
_cell_angle_gamma 120.00
loop_
_atom_site_label
_atom_site_type_symbol
_atom_site_fract_x
_atom_site_fract_y
_atom_site_fract_z
Dy1 Dy 0.0000 0.0000 0.0000
Ho1 Ho 0.0000 0.0000 0.2849
Ho2 Ho 0.0296 0.5148 0.2624
Sc1 Sc 0.0000 0.0000 0.5000
Sc2 Sc 0.0000 0.5000 0.5000
# raw total energy: -4.86 eV per atom
# spin magnetization: 0.00 Bohr magnetons per cell
# E_form: 3.39 eV/f.u.